[1]
# Th6Ru2RhSe3

A geometry-optimized Th6Ru2RhSe3 structure (GGA-PBE, the Alexandria database).

Cell: 9.6823 9.6823 8.7619 Å, 108.13 108.13 24.44°
Last column: nearest neighbours and their distance in Å.
Fractional positions:
1 Th 0.0091 0.0091 0.2340  1 Ru 2.82, 2 Rh 2.86, 2 Se 3.15
2 Th 0.3250 0.3250 0.4367  3 Ru 2.85, 3 Se 3.18
3 Th 0.3392 0.3392 0.8941  2 Ru 2.83, 1 Rh 2.89, 1 Se 3.15
4 Th 0.6608 0.6608 0.1059  2 Ru 2.83, 1 Rh 2.89, 1 Se 3.15
5 Th 0.6750 0.6750 0.5633  3 Ru 2.85, 3 Se 3.18
6 Th 0.9909 0.9909 0.7660  1 Ru 2.82, 2 Rh 2.86, 2 Se 3.15
7 Ru 0.1661 0.1661 0.3320  6 Th 2.82-2.85
8 Ru 0.8339 0.8339 0.6680  6 Th 2.82-2.85
9 Rh 0.5000 0.5000 0.0000  6 Th 2.86-2.89
10 Se 0.1660 0.1660 0.8336  6 Th 3.15-3.18
11 Se 0.5000 0.5000 0.5000  6 Th 3.15-3.18
12 Se 0.8340 0.8340 0.1664  6 Th 3.15-3.18

Properties
Its total energy is -7.86 eV/atom. The total magnetic moment comes out at 0.0 μB per formula unit. The value obtained for the uncorrected formation energy is -1.123 eV per atom. Its theoretical density is 9.97 g/cm3.



[2]
# Dy2Ga6Ni3

A geometry-optimized Dy2Ga6Ni3 structure (GGA-PBE, the Alexandria database).

Cell: 7.3967 7.3967 4.0457 Å, 90.00 90.00 120.00°
Last column: nearest neighbours and their distance in Å.
Fractional positions:
1 Dy 0.3333 0.6667 0.0000  9 Ga 3.06-3.27, 6 Ni 3.10
2 Dy 0.6667 0.3333 0.0000  9 Ga 3.06-3.27, 6 Ni 3.10
3 Ga 0.0000 0.3082 0.5000  3 Ni 2.39-2.53
4 Ga 0.0000 0.7966 0.0000  2 Ni 2.36, 2 Ga 2.61
5 Ga 0.2034 0.2034 0.0000  2 Ni 2.36, 2 Ga 2.61
6 Ga 0.3082 0.0000 0.5000  3 Ni 2.39-2.53
7 Ga 0.6918 0.6918 0.5000  3 Ni 2.39-2.53
8 Ga 0.7966 0.0000 0.0000  2 Ni 2.36, 2 Ga 2.61
9 Ni 0.0000 0.6315 0.5000  5 Ga 2.36-2.53
10 Ni 0.3685 0.3685 0.5000  5 Ga 2.36-2.53
11 Ni 0.6315 0.0000 0.5000  5 Ga 2.36-2.53

Properties
Its total energy is -4.58 eV/atom. The value obtained for the formation energy is -0.51 eV per atom. The total magnetic moment comes out at 0.0 μB per formula unit. Its theoretical density is 7.96 g/cm3.



[3]
# KMgIn2

A geometry-optimized KMgIn2 structure (GGA-PBE, the Alexandria database).

Cell: 6.5780 6.5780 6.5780 Å, 146.05 128.56 63.08°
Last column: nearest neighbours and their distance in Å.
Fractional positions:
1 K 0.0000 0.0000 0.0000  8 In 3.44-3.82, 4 Mg 3.73-3.74, 2 K 3.84
2 Mg 0.2847 0.7847 0.5000  6 In 3.16-3.50
3 In 0.5082 0.5082 0.0000  2 In 3.11, 2 Mg 3.16, 4 K 3.44
4 In 0.7268 0.2268 0.5000  2 In 3.11

Properties
Its total energy is -1.98 eV/atom. The value obtained for the formation energy is 0.06 eV per atom. The total magnetic moment comes out at 0.0 μB per formula unit. Its theoretical density is 3.96 g/cm3.



[4]
# BaPtAu11

A geometry-optimized BaPtAu11 structure (GGA-PBE, the Alexandria database).

Cell: 7.2860 7.2860 7.3446 Å, 97.99 97.99 133.96°
Last column: nearest neighbours and their distance in Å.
Fractional positions:
1 Ba 0.0000 0.0000 0.0000  18 Au 3.38-3.76, 2 Pt 3.67
2 Pt 0.0000 0.0000 0.5000  10 Au 2.84-2.85
3 Au 0.0000 0.5000 0.0000  10 Au 2.79-3.02
4 Au 0.0263 0.6751 0.6464  1 Pt 2.84, 8 Au 2.86-3.18
5 Au 0.2805 0.5003 0.7778  8 Au 2.76-3.05, 1 Pt 2.84
6 Au 0.3249 0.9737 0.3536  1 Pt 2.84, 8 Au 2.86-3.18
7 Au 0.5000 0.0000 0.0000  10 Au 2.79-3.02
8 Au 0.5003 0.2805 0.7778  8 Au 2.76-3.05, 1 Pt 2.84
9 Au 0.5000 0.5000 0.5000  8 Au 2.76-3.03, 2 Pt 2.85
10 Au 0.4997 0.7195 0.2222  8 Au 2.76-3.05, 1 Pt 2.84
11 Au 0.6751 0.0263 0.6464  1 Pt 2.84, 8 Au 2.86-3.18
12 Au 0.7195 0.4997 0.2222  8 Au 2.76-3.05, 1 Pt 2.84
13 Au 0.9737 0.3249 0.3536  1 Pt 2.84, 8 Au 2.86-3.18

Properties
Its total energy is -3.58 eV/atom. The value obtained for the formation energy is -0.20 eV per atom. The total magnetic moment comes out at 0.0 μB per formula unit. Its theoretical density is 15.82 g/cm3.



[5]
# CsLaCr2Mo

A geometry-optimized CsLaCr2Mo structure (GGA-PBE, the Alexandria database).

Cell: 5.1131 5.1131 5.4809 Å, 90.00 90.00 90.00°
Last column: nearest neighbours and their distance in Å.
Fractional positions:
1 Cs 0.0000 0.0000 0.0000  4 La 3.62, 8 Cr 3.75
2 La 0.5000 0.5000 0.0000  2 Mo 2.74
3 Cr 0.0000 0.5000 0.5000  2 Mo 2.56
4 Cr 0.5000 0.0000 0.5000  2 Mo 2.56
5 Mo 0.5000 0.5000 0.5000  4 Cr 2.56, 2 La 2.74

Properties
Its total energy is -6.10 eV/atom. The value obtained for the formation energy is 1.07 eV per atom. The total magnetic moment comes out at 6.7 μB per formula unit. Its theoretical density is 5.47 g/cm3.



[6]
# Zn2CoTc

A geometry-optimized Zn2CoTc structure (GGA-PBE, the Alexandria database).

Cell: 2.7033 2.7033 7.3064 Å, 90.00 90.00 90.00°
Last column: nearest neighbours and their distance in Å.
Fractional positions:
1 Zn 0.0000 0.0000 0.0000  8 Zn 2.70-2.78, 4 Tc 2.75
2 Zn 0.5000 0.5000 0.2769  4 Co 2.56, 8 Zn 2.70-2.78
3 Co 0.0000 0.0000 0.5101  4 Tc 2.50, 4 Zn 2.56, 4 Co 2.70
4 Tc 0.5000 0.5000 0.7296  4 Co 2.50, 4 Tc 2.70, 4 Zn 2.75

Properties
Its total energy is -5.02 eV/atom. The value obtained for the formation energy is -0.02 eV per atom. The total magnetic moment comes out at 0.0 μB per formula unit. Its theoretical density is 8.95 g/cm3.



[7]
# Rb2CdAs2O6

A geometry-optimized Rb2CdAs2O6 structure (GGA-PBE, the Alexandria database).

Cell: 6.1202 6.1202 7.0399 Å, 116.26 116.26 58.86°
Last column: nearest neighbours and their distance in Å.
Fractional positions:
1 Rb 0.2120 0.2120 0.1882  9 O 2.98-3.18
2 Rb 0.7880 0.7880 0.8118  9 O 2.98-3.18
3 Cd 0.0000 0.0000 0.5000  6 O 2.31-2.47
4 As 0.4518 0.4518 0.7958  3 O 1.71-1.73
5 As 0.5482 0.5482 0.2042  3 O 1.71-1.73
6 O 0.2344 0.7111 0.2415  1 As 1.73
7 O 0.2658 0.2658 0.6558  1 As 1.71
8 O 0.2889 0.7656 0.7585  1 As 1.73
9 O 0.7111 0.2344 0.2415  1 As 1.73
10 O 0.7342 0.7342 0.3442  1 As 1.71
11 O 0.7656 0.2889 0.7585  1 As 1.73

Properties
Its total energy is -5.20 eV/atom. The total magnetic moment comes out at 0.0 μB per formula unit. The value obtained for the uncorrected formation energy is -1.394 eV per atom. Its theoretical density is 4.52 g/cm3.



[8]
# Mg5Cd2CuRh2

A geometry-optimized Mg5Cd2CuRh2 structure (GGA-PBE, the Alexandria database).

Cell: 9.9188 9.9188 3.8274 Å, 90.00 90.00 90.00°
Last column: nearest neighbours and their distance in Å.
Fractional positions:
1 Mg 0.0000 0.5000 0.0000  4 Rh 2.58
2 Mg 0.0767 0.1987 0.0000  2 Rh 2.64, 2 Cu 2.85
3 Mg 0.1987 0.9233 0.0000  2 Rh 2.64, 2 Cu 2.85
4 Mg 0.3013 0.4233 0.0000  2 Rh 2.64, 2 Cu 2.85
5 Mg 0.4233 0.6987 0.0000  2 Rh 2.64, 2 Cu 2.85
6 Mg 0.5000 0.0000 0.0000  4 Rh 2.58
7 Mg 0.5767 0.3013 0.0000  2 Rh 2.64, 2 Cu 2.85
8 Mg 0.6987 0.5767 0.0000  2 Rh 2.64, 2 Cu 2.85
9 Mg 0.8013 0.0767 0.0000  2 Rh 2.64, 2 Cu 2.85
10 Mg 0.9233 0.8013 0.0000  2 Rh 2.64, 2 Cu 2.85
11 Cd 0.1709 0.6709 0.5000  3 Rh 2.88-2.96, 6 Mg 3.07-3.16
12 Cd 0.3291 0.1709 0.5000  3 Rh 2.88-2.96, 6 Mg 3.07-3.16
13 Cd 0.6709 0.8291 0.5000  3 Rh 2.88-2.96, 6 Mg 3.07-3.16
14 Cd 0.8291 0.3291 0.5000  3 Rh 2.88-2.96, 6 Mg 3.07-3.16
15 Cu 0.0000 0.0000 0.5000  8 Mg 2.85
16 Cu 0.5000 0.5000 0.5000  8 Mg 2.85
17 Rh 0.1238 0.3762 0.5000  6 Mg 2.58-2.64, 1 Cd 2.88
18 Rh 0.3762 0.8762 0.5000  6 Mg 2.58-2.64, 1 Cd 2.88
19 Rh 0.6238 0.1238 0.5000  6 Mg 2.58-2.64, 1 Cd 2.88
20 Rh 0.8762 0.6238 0.5000  6 Mg 2.58-2.64, 1 Cd 2.88

Properties
Its total energy is -3.07 eV/atom. The value obtained for the formation energy is -0.21 eV per atom. The total magnetic moment comes out at 0.0 μB per formula unit. Its theoretical density is 5.43 g/cm3.



[9]
# Be2Bi

A geometry-optimized Be2Bi structure (GGA-PBE, the Alexandria database).

Cell: 3.2566 3.8371 10.0303 Å, 89.95 89.62 65.19°
Last column: nearest neighbours and their distance in Å.
Fractional positions:
1 Be 0.1448 0.2096 0.1529  2 Be 2.09-2.30
2 Be 0.1517 0.1936 0.9446  2 Be 2.09-2.30
3 Be 0.8483 0.8064 0.0554  2 Be 2.09-2.30
4 Be 0.8552 0.7904 0.8471  2 Be 2.09-2.30
5 Bi 0.1575 0.1957 0.6877  4 Be 2.58-2.69
6 Bi 0.8425 0.8043 0.3123  4 Be 2.58-2.69

Properties
Its total energy is -3.41 eV/atom. The value obtained for the formation energy is 0.37 eV per atom. The total magnetic moment comes out at 0.0 μB per formula unit. Its theoretical density is 6.63 g/cm3.



[10]
# Ho2Al2Te7

A geometry-optimized Ho2Al2Te7 structure (GGA-PBE, the Alexandria database).

Cell: 7.9151 7.9151 7.4188 Å, 101.25 101.25 110.37°
Last column: nearest neighbours and their distance in Å.
Fractional positions:
1 Ho 0.1949 0.8051 0.0000  6 Te 3.03-3.14
2 Ho 0.8051 0.1949 0.0000  6 Te 3.03-3.14
3 Al 0.2510 0.2510 0.6239  4 Te 2.59-2.71
4 Al 0.7490 0.7490 0.3761  4 Te 2.59-2.71
5 Te 0.0419 0.3975 0.7631  1 Al 2.59
6 Te 0.1539 0.1539 0.2414  1 Al 2.67
7 Te 0.3975 0.0419 0.7631  1 Al 2.59
8 Te 0.5000 0.5000 0.5000  2 Al 2.71
9 Te 0.6025 0.9581 0.2369  1 Al 2.59
10 Te 0.8461 0.8461 0.7586  1 Al 2.67
11 Te 0.9581 0.6025 0.2369  1 Al 2.59

Properties
Its total energy is -4.19 eV/atom. The total magnetic moment comes out at 0.0 μB per formula unit. The value obtained for the uncorrected formation energy is -0.680 eV per atom. Its theoretical density is 5.18 g/cm3.